A plane-wave DFT calculation with PBE was carried out for a geometry-optimized CdHgRu structure.

Lattice parameters (Å, degrees): 6.3934 6.3934 6.3934 90.00 90.00 90.00
Space group F-43m (No. 216)
Symmetry-distinct sites (fractional):
Cd  0.0000  0.0000  0.0000 x4
Hg  0.0000  0.0000  0.5000 x4
Ru  0.2500  0.2500  0.7500 x4

Summary:
Its energy above the most stable polymorph in this dataset is 223 meV/atom. The formation energy is 0.641 eV/atom. As for the density: 10.524 g/cm3. As for the total DFT energy (no corrections): -34.28 eV/cell.

=====

A plane-wave DFT calculation with PBE was carried out for a geometry-optimized MnPt2Au structure.

Lattice parameters (Å, degrees): 4.7876 2.9266 4.8194 90.00 108.58 90.00
Space group P2/m (No. 10)
Symmetry-distinct sites (fractional):
Mn  0.0000  0.0000  0.0000 x1
Pt  0.5000  0.0000  0.5000 x1
Pt  0.5000  0.5000  0.0000 x1
Au  0.0000  0.5000  0.5000 x1

Summary:
The formation energy is -0.158 eV/atom. As for the density: 16.657 g/cm3. As for the total DFT energy (no corrections): -25.16 eV/cell.

=====

A plane-wave DFT calculation with PBE was carried out for a geometry-optimized NiAg2Pt structure.

Lattice parameters (Å, degrees): 2.7989 2.7989 27.4963 90.00 90.00 120.00
Space group R-3m (No. 166, hexagonal axes)
Symmetry-distinct sites (fractional):
Ni  0.0000  0.0000  0.0000 x3
Ag  0.0000  0.0000  0.2541 x6
Pt  0.0000  0.0000  0.5000 x3

Summary:
The formation energy is 0.112 eV/atom. As for the density: 12.538 g/cm3. As for the total DFT energy (no corrections): -51.23 eV/cell.